# Ta4ZnGa, optimized geometry, DFT PBE
# * M_tot: 0.000 μB per atom
# * volume: 16.9 A^3/atom
# * Fermi-level density of states: 0.4376 states/eV/atom
# * energy of formation from the pure elements: -109 meV per atom
data_Ta4ZnGa
_chemical_formula_sum 'Ta8 Zn2 Ga2'
_cell_length_a 6.3106
_cell_length_b 6.3106
_cell_length_c 5.1022
_cell_angle_alpha 90.00
_cell_angle_beta 90.00
_cell_angle_gamma 90.00
_space_group_name_H-M_alt 'P 4/m c c'
_space_group_IT_number 124
_space_group_name_Hall '-P 4 2c'
loop_
_atom_site_label
_atom_site_type_symbol
_atom_site_fract_x
_atom_site_fract_y
_atom_site_fract_z
Ta1 Ta 0.1539 0.3429 0.0000
Zn1 Zn 0.0000 0.0000 0.2500
Ga1 Ga 0.5000 0.5000 0.2500

***

# BaCaW, optimized geometry, DFT PBE
# * M_tot: 0.000 μB per atom
# * volume: 28.8 A^3/atom
# * Fermi-level density of states: 0.7021 states/eV/atom
# * energy of formation from the pure elements: 1237 meV per atom
data_BaCaW
_chemical_formula_sum 'Ba1 Ca1 W1'
_cell_length_a 3.3249
_cell_length_b 3.3249
_cell_length_c 9.0398
_cell_angle_alpha 90.00
_cell_angle_beta 90.00
_cell_angle_gamma 120.00
_space_group_name_H-M_alt 'P 3 m 1'
_space_group_IT_number 156
_space_group_name_Hall 'P 3 -2"'
loop_
_atom_site_label
_atom_site_type_symbol
_atom_site_fract_x
_atom_site_fract_y
_atom_site_fract_z
Ba1 Ba 0.0000 0.0000 0.0000
Ca1 Ca 0.3333 0.6667 0.4233
W1 W 0.6667 0.3333 0.6937

***

# UTi2Rh, optimized geometry, DFT PBE
# * M_tot: 0.000 μB per atom
# * volume: 17.1 A^3/atom
# * Fermi-level density of states: 2.0247 states/eV/atom
# * energy of formation from the pure elements: -302 meV per atom
data_UTi2Rh
_chemical_formula_sum 'U1 Ti2 Rh1'
_cell_length_a 2.9459
_cell_length_b 2.9459
_cell_length_c 7.8977
_cell_angle_alpha 90.00
_cell_angle_beta 90.00
_cell_angle_gamma 90.00
_space_group_name_H-M_alt 'P 4/m m m'
_space_group_IT_number 123
_space_group_name_Hall '-P 4 2'
loop_
_atom_site_label
_atom_site_type_symbol
_atom_site_fract_x
_atom_site_fract_y
_atom_site_fract_z
U1 U 0.0000 0.0000 0.0000
Ti1 Ti 0.5000 0.5000 0.2869
Rh1 Rh 0.0000 0.0000 0.5000

***

# LaMo2Pd, optimized geometry, DFT PBE
# * M_tot: 0.000 μB per atom
# * volume: 18.1 A^3/atom
# * Fermi-level density of states: 1.6612 states/eV/atom
# * energy of formation from the pure elements: 581 meV per atom
data_LaMo2Pd
_chemical_formula_sum 'La4 Mo8 Pd4'
_cell_length_a 6.6221
_cell_length_b 6.6221
_cell_length_c 6.6221
_cell_angle_alpha 90.00
_cell_angle_beta 90.00
_cell_angle_gamma 90.00
_space_group_name_H-M_alt 'F m -3 m'
_space_group_IT_number 225
_space_group_name_Hall '-F 4 2 3'
loop_
_atom_site_label
_atom_site_type_symbol
_atom_site_fract_x
_atom_site_fract_y
_atom_site_fract_z
La1 La 0.0000 0.0000 0.0000
Mo1 Mo 0.2500 0.2500 0.2500
Pd1 Pd 0.0000 0.0000 0.5000

***

# Y2ScCu9, optimized geometry, DFT PBE
# * M_tot: 0.000 μB per atom
# * volume: 15.6 A^3/atom
# * Fermi-level density of states: 0.6560 states/eV/atom
# * energy of formation from the pure elements: -165 meV per atom
data_Y2ScCu9
_chemical_formula_sum 'Y6 Sc3 Cu27'
_cell_length_a 5.0873
_cell_length_b 5.0873
_cell_length_c 25.0736
_cell_angle_alpha 90.00
_cell_angle_beta 90.00
_cell_angle_gamma 120.00
_space_group_name_H-M_alt 'R -3 m'
_space_group_IT_number 166
_space_group_name_Hall '-R 3 2"'
loop_
_atom_site_label
_atom_site_type_symbol
_atom_site_fract_x
_atom_site_fract_y
_atom_site_fract_z
Y1 Y 0.0000 0.0000 0.1381
Sc1 Sc 0.0000 0.0000 0.0000
Cu1 Cu 0.0000 0.0000 0.3327
Cu2 Cu 0.0000 0.0000 0.5000
Cu3 Cu 0.9996 0.4998 0.0809

***

# ScMnMo2, optimized geometry, DFT PBE
# * M_tot: 0.000 μB per atom
# * volume: 15.1 A^3/atom
# * Fermi-level density of states: 0.9062 states/eV/atom
# * energy of formation from the pure elements: 244 meV per atom
data_ScMnMo2
_chemical_formula_sum 'Sc4 Mn4 Mo8'
_cell_length_a 6.2349
_cell_length_b 6.2349
_cell_length_c 6.2349
_cell_angle_alpha 90.00
_cell_angle_beta 90.00
_cell_angle_gamma 90.00
_space_group_name_H-M_alt 'F m -3 m'
_space_group_IT_number 225
_space_group_name_Hall '-F 4 2 3'
loop_
_atom_site_label
_atom_site_type_symbol
_atom_site_fract_x
_atom_site_fract_y
_atom_site_fract_z
Sc1 Sc 0.0000 0.0000 0.0000
Mn1 Mn 0.0000 0.0000 0.5000
Mo1 Mo 0.2500 0.2500 0.2500

***

# Tl2Bi2Te, optimized geometry, DFT PBE
# * E_form (uncorrected): 0.1097 eV per atom
# * M_tot: 0.000 μB per atom
# * volume: 35.0 A^3/atom
# * Fermi-level density of states: 0.5987 states/eV/atom
data_Tl2Bi2Te
_chemical_formula_sum 'Tl4 Bi4 Te2'
_cell_length_a 10.3583
_cell_length_b 10.3583
_cell_length_c 3.2651
_cell_angle_alpha 90.00
_cell_angle_beta 90.00
_cell_angle_gamma 90.00
_space_group_name_H-M_alt 'P 4/m b m'
_space_group_IT_number 127
_space_group_name_Hall '-P 4 2ab'
loop_
_atom_site_label
_atom_site_type_symbol
_atom_site_fract_x
_atom_site_fract_y
_atom_site_fract_z
Tl1 Tl 0.1874 0.3126 0.0000
Bi1 Bi 0.1050 0.6050 0.5000
Te1 Te 0.0000 0.0000 0.0000

***

# PrNdSm2Ho2, optimized geometry, DFT PBE
# * M_tot: 0.000 μB per atom
# * volume: 34.4 A^3/atom
# * Fermi-level density of states: 1.7086 states/eV/atom
# * energy of formation from the pure elements: 265 meV per atom
data_PrNdSm2Ho2
_chemical_formula_sum 'Pr2 Nd2 Sm4 Ho4'
_cell_length_a 6.6144
_cell_length_b 18.1844
_cell_length_c 3.4296
_cell_angle_alpha 90.00
_cell_angle_beta 90.00
_cell_angle_gamma 90.00
_space_group_name_H-M_alt 'P n n m'
_space_group_IT_number 58
_space_group_name_Hall '-P 2 2n'
loop_
_atom_site_label
_atom_site_type_symbol
_atom_site_fract_x
_atom_site_fract_y
_atom_site_fract_z
Pr1 Pr 0.0000 0.0000 0.0000
Nd1 Nd 0.0000 0.5000 0.0000
Sm1 Sm 0.2223 0.1877 0.0000
Ho1 Ho 0.2205 0.3516 0.5000

***

# Y2OsW, optimized geometry, DFT PBE
# * M_tot: 0.000 μB per atom
# * volume: 19.8 A^3/atom
# * Fermi-level density of states: 1.0484 states/eV/atom
# * energy of formation from the pure elements: 411 meV per atom
data_Y2OsW
_chemical_formula_sum 'Y4 Os2 W2'
_cell_length_a 4.8165
_cell_length_b 4.8165
_cell_length_c 6.8315
_cell_angle_alpha 90.00
_cell_angle_beta 90.00
_cell_angle_gamma 90.00
_space_group_name_H-M_alt 'I -4 m 2'
_space_group_IT_number 119
_space_group_name_Hall 'I -4 -2'
loop_
_atom_site_label
_atom_site_type_symbol
_atom_site_fract_x
_atom_site_fract_y
_atom_site_fract_z
Y1 Y 0.0000 0.0000 0.0000
Y2 Y 0.0000 0.5000 0.2500
Os1 Os 0.0000 0.5000 0.7500
W1 W 0.0000 0.0000 0.5000

***

# Be6SiNi2, optimized geometry, DFT PBE
# * E_form (uncorrected): -0.1267 eV per atom
# * M_tot: 0.000 μB per atom
# * volume: 9.1 A^3/atom
# * Fermi-level density of states: 0.2424 states/eV/atom
data_Be6SiNi2
_chemical_formula_sum 'Be24 Si4 Ni8'
_cell_length_a 8.6004
_cell_length_b 7.8883
_cell_length_c 5.9664
_cell_angle_alpha 90.00
_cell_angle_beta 125.54
_cell_angle_gamma 90.00
_space_group_name_H-M_alt 'C 1 2/c 1'
_space_group_IT_number 15
_space_group_name_Hall '-C 2yc'
loop_
_atom_site_label
_atom_site_type_symbol
_atom_site_fract_x
_atom_site_fract_y
_atom_site_fract_z
Be1 Be 0.0420 0.1249 0.4590
Be2 Be 0.1142 0.3961 0.2157
Be3 Be 0.2203 0.3493 0.6448
Si1 Si 0.0000 0.3380 0.7500
Ni1 Ni 0.1855 0.0953 0.9155

***

# TmNpPd14, optimized geometry, DFT PBE
# * M_tot: 0.153 μB per atom
# * volume: 16.4 A^3/atom
# * Fermi-level density of states: 1.6786 states/eV/atom
# * energy of formation from the pure elements: -350 meV per atom
data_TmNpPd14
_chemical_formula_sum 'Tm1 Np1 Pd14'
_cell_length_a 5.7789
_cell_length_b 5.7789
_cell_length_c 7.8512
_cell_angle_alpha 90.00
_cell_angle_beta 90.00
_cell_angle_gamma 90.00
_space_group_name_H-M_alt 'P 4/m m m'
_space_group_IT_number 123
_space_group_name_Hall '-P 4 2'
loop_
_atom_site_label
_atom_site_type_symbol
_atom_site_fract_x
_atom_site_fract_y
_atom_site_fract_z
Tm1 Tm 0.0000 0.0000 0.0000
Np1 Np 0.5000 0.5000 0.0000
Pd1 Pd 0.0000 0.0000 0.5000
Pd2 Pd 0.0000 0.5000 0.0000
Pd3 Pd 0.0000 0.5000 0.5000
Pd4 Pd 0.2518 0.2518 0.2538
Pd5 Pd 0.5000 0.5000 0.5000

***

# DyUFe, optimized geometry, DFT PBE
# * M_tot: 0.005 μB per atom
# * volume: 21.4 A^3/atom
# * Fermi-level density of states: 1.5076 states/eV/atom
# * energy of formation from the pure elements: 174 meV per atom
data_DyUFe
_chemical_formula_sum 'Dy1 U1 Fe1'
_cell_length_a 3.4723
_cell_length_b 3.4723
_cell_length_c 6.1469
_cell_angle_alpha 90.00
_cell_angle_beta 90.00
_cell_angle_gamma 120.00
_space_group_name_H-M_alt 'P 3 m 1'
_space_group_IT_number 156
_space_group_name_Hall 'P 3 -2"'
loop_
_atom_site_label
_atom_site_type_symbol
_atom_site_fract_x
_atom_site_fract_y
_atom_site_fract_z
Dy1 Dy 0.0000 0.0000 0.0000
U1 U 0.6667 0.3333 0.4453
Fe1 Fe 0.3333 0.6667 0.6580

***

# NpMnPb, optimized geometry, DFT PBE
# * M_tot: 0.642 μB per atom
# * volume: 22.2 A^3/atom
# * Fermi-level density of states: 1.7872 states/eV/atom
# * energy of formation from the pure elements: 183 meV per atom
data_NpMnPb
_chemical_formula_sum 'Np2 Mn2 Pb2'
_cell_length_a 4.7055
_cell_length_b 5.2469
_cell_length_c 5.8526
_cell_angle_alpha 104.62
_cell_angle_beta 107.02
_cell_angle_gamma 90.40
_space_group_name_H-M_alt 'P -1'
_space_group_IT_number 2
_space_group_name_Hall '-P 1'
loop_
_atom_site_label
_atom_site_type_symbol
_atom_site_fract_x
_atom_site_fract_y
_atom_site_fract_z
Np1 Np 0.1859 0.4500 0.2812
Mn1 Mn 0.2858 0.5830 0.8289
Pb1 Pb 0.3336 0.0526 0.7138

***

# Zr4Cu3Pt, optimized geometry, DFT PBE
# * M_tot: 0.000 μB per atom
# * volume: 18.3 A^3/atom
# * Fermi-level density of states: 1.1276 states/eV/atom
# * energy of formation from the pure elements: -354 meV per atom
data_Zr4Cu3Pt
_chemical_formula_sum 'Zr4 Cu3 Pt1'
_cell_length_a 3.3269
_cell_length_b 4.2381
_cell_length_c 10.3716
_cell_angle_alpha 90.00
_cell_angle_beta 90.00
_cell_angle_gamma 90.00
_space_group_name_H-M_alt 'P m m 2'
_space_group_IT_number 25
_space_group_name_Hall 'P 2 -2'
loop_
_atom_site_label
_atom_site_type_symbol
_atom_site_fract_x
_atom_site_fract_y
_atom_site_fract_z
Zr1 Zr 0.0000 0.0000 0.0000
Zr2 Zr 0.0000 0.5000 0.2930
Zr3 Zr 0.5000 0.0000 0.4940
Zr4 Zr 0.5000 0.5000 0.7915
Cu1 Cu 0.0000 0.5000 0.5635
Cu2 Cu 0.5000 0.0000 0.2180
Cu3 Cu 0.5000 0.5000 0.0697
Pt1 Pt 0.0000 0.0000 0.7224